This record from the Alexandria database describes a geometry-optimized Ti4Fe3Pt structure. The functional is GGA-PBE.

## Properties
Space group ... P4/mmm
Formation enthalpy at 0 K ... -488 meV per atom
Magnetization ... 1.24 μB per cell
Fermi-level density of states ... 5.85 states/eV per cell

a = 4.2523 Å, b = 4.2523 Å, c = 6.1153 Å
α = 90.00°, β = 90.00°, γ = 90.00°
Closest atoms and distances in Å follow each position.
Sites, in units of the cell vectors:
Ti 0.0000 0.5000 0.2379  6 Fe 2.58-2.66, 2 Pt 2.66
Ti 0.0000 0.5000 0.7621  6 Fe 2.58-2.66, 2 Pt 2.66
Ti 0.5000 0.0000 0.2379  6 Fe 2.58-2.66, 2 Pt 2.66
Ti 0.5000 0.0000 0.7621  6 Fe 2.58-2.66, 2 Pt 2.66
Fe 0.0000 0.0000 0.0000  8 Ti 2.58
Fe 0.0000 0.0000 0.5000  8 Ti 2.66
Fe 0.5000 0.5000 0.0000  8 Ti 2.58
Pt 0.5000 0.5000 0.5000  8 Ti 2.66